{
  "formula": "ZrTa2Fe",
  "functional": "GGA-PBEsol",
  "state": "relaxed",
  "final_energy_ev_per_atom": -10.6416,
  "magnetic_moment_mub_per_fu": 0.0,
  "de_polymorph_ev_per_fu": 0.73,
  "vol_a3_per_cell": 64.2,
  "e_form_mev_per_atom": 147,
  "cell": [[-0.746, 4.429, 0.181], [-4.143, 1.551, 0.796], [-0.949, 1.960, 3.932]],
  "species": ["Zr", "Ta", "Ta", "Fe"],
  "frac_coords": [[0.500, 0.500, 0.500], [0.250, 0.250, 0.250], [0.750, 0.750, 0.750], [0.000, 0.000, 0.000]]
}

***

{
  "formula": "BeReHg",
  "functional": "GGA-PBEsol",
  "state": "relaxed",
  "final_energy_ev_per_atom": -5.4362,
  "magnetic_moment_mub_per_fu": 0.0,
  "de_polymorph_ev_per_fu": 0.00,
  "vol_a3_per_cell": 42.9,
  "e_form_mev_per_atom": 530,
  "cell": [[-1.178, -1.153, 2.169], [2.792, -0.314, 1.349], [-1.327, 5.280, 0.376]],
  "species": ["Be", "Re", "Hg"],
  "frac_coords": [[0.982, 0.982, 0.965], [0.362, 0.362, 0.724], [0.655, 0.655, 0.311]]
}

***

{
  "formula": "Sc2TcHPt",
  "functional": "GGA-PBEsol",
  "state": "relaxed",
  "final_energy_ev_per_atom": -6.9963,
  "magnetic_moment_mub_per_fu": 0.0,
  "vol_a3_per_cell": 78.6,
  "cell": [[-3.116, -0.871, -0.735], [1.160, -0.166, -4.725], [1.203, -4.695, 0.461]],
  "species": ["H", "Sc", "Sc", "Tc", "Pt"],
  "frac_coords": [[0.500, 0.000, 0.000], [0.000, 0.000, 0.500], [0.000, 0.500, 0.000], [0.000, 0.000, 0.000], [0.500, 0.500, 0.500]]
}

***

{
  "formula": "SrCoPb",
  "functional": "GGA-PBEsol",
  "state": "relaxed",
  "final_energy_ev_per_atom": -4.4356,
  "magnetic_moment_mub_per_fu": 1.0,
  "vol_a3_per_cell": 75.9,
  "e_form_mev_per_atom": 90,
  "cell": [[-0.975, -1.167, -4.066], [3.129, -3.218, 0.173], [-4.215, -0.896, 1.267]],
  "species": ["Co", "Pb", "Sr"],
  "frac_coords": [[0.000, 0.000, 0.000], [0.000, 0.333, 0.667], [0.500, 0.667, 0.333]]
}

***

{
  "formula": "Cu3Ni",
  "functional": "GGA-PBEsol",
  "state": "relaxed",
  "final_energy_ev_per_atom": -4.7431,
  "magnetic_moment_mub_per_fu": 0.0,
  "vol_a3_per_cell": 44.0,
  "e_form_mev_per_atom": 47,
  "cell": [[3.964, 0.000, 0.000], [1.982, 3.433, 0.000], [1.982, 1.144, 3.236]],
  "species": ["Cu", "Cu", "Cu", "Ni"],
  "frac_coords": [[0.250, 0.250, 0.250], [0.000, 0.000, 0.000], [0.750, 0.750, 0.750], [0.500, 0.500, 0.500]]
}

***

{
  "formula": "Ca5Tl",
  "functional": "GGA-PBEsol",
  "state": "relaxed",
  "final_energy_ev_per_atom": -1.9442,
  "magnetic_moment_mub_per_fu": 0.0,
  "de_polymorph_ev_per_fu": 2.58,
  "vol_a3_per_cell": 247.3,
  "e_form_mev_per_atom": 272,
  "cell": [[6.285, 0.000, 0.000], [0.000, 6.741, 0.000], [0.000, -3.370, 5.838]],
  "species": ["Ca", "Ca", "Ca", "Ca", "Ca", "Tl"],
  "frac_coords": [[0.500, 0.500, 0.000], [0.000, 0.333, 0.667], [0.500, 0.000, 0.500], [0.500, 0.500, 0.500], [0.000, 0.667, 0.333], [0.000, 0.000, 0.000]]
}

***

{
  "formula": "TiMnGaMo2",
  "functional": "GGA-PBEsol",
  "state": "relaxed",
  "final_energy_ev_per_atom": -7.7101,
  "magnetic_moment_mub_per_fu": 3.2,
  "vol_a3_per_cell": 89.9,
  "e_form_mev_per_atom": 1282,
  "cell": [[4.273, 0.000, 0.000], [0.000, 4.586, 0.000], [0.000, 0.000, 4.586]],
  "species": ["Ti", "Mo", "Mo", "Ga", "Mn"],
  "frac_coords": [[0.500, 0.500, 0.500], [0.000, 0.000, 0.500], [0.000, 0.500, 0.000], [0.000, 0.000, 0.000], [0.500, 0.000, 0.000]]
}

***

{
  "formula": "CaReAg2Br",
  "functional": "GGA-PBEsol",
  "state": "relaxed",
  "final_energy_ev_per_atom": -3.7779,
  "magnetic_moment_mub_per_fu": 0.0,
  "raw_formation_energy_ev_per_fu": 5.068,
  "vol_a3_per_cell": 138.4,
  "cell": [[4.899, 0.000, 0.000], [0.000, 4.899, 0.000], [0.000, 0.000, 5.767]],
  "species": ["Ag", "Ag", "Ca", "Re", "Br"],
  "frac_coords": [[0.500, 0.000, 0.000], [0.000, 0.500, 0.000], [0.000, 0.000, 0.500], [0.000, 0.000, 0.000], [0.500, 0.500, 0.500]]
}

***

{
  "formula": "YMoCl2",
  "functional": "GGA-PBEsol",
  "state": "relaxed",
  "final_energy_ev_per_atom": -5.8502,
  "magnetic_moment_mub_per_fu": 0.0,
  "de_polymorph_ev_per_fu": 1.72,
  "raw_formation_energy_ev_per_fu": -0.795,
  "vol_a3_per_cell": 75.4,
  "cell": [[-0.116, -3.030, 0.522], [2.390, 1.137, -1.936], [5.011, 0.972, 6.754]],
  "species": ["Cl", "Cl", "Mo", "Y"],
  "frac_coords": [[0.000, 0.000, 0.274], [0.000, 0.000, 0.726], [0.500, 0.000, 0.500], [0.500, 0.000, 0.000]]
}

***

{
  "formula": "VRh3",
  "functional": "GGA-PBEsol",
  "state": "relaxed",
  "final_energy_ev_per_atom": -8.9056,
  "magnetic_moment_mub_per_fu": 0.0,
  "vol_a3_per_cell": 52.7,
  "e_form_mev_per_atom": -393,
  "cell": [[3.750, 0.000, 0.000], [0.000, 3.750, 0.000], [0.000, 0.000, 3.750]],
  "species": ["Rh", "Rh", "Rh", "V"],
  "frac_coords": [[0.500, 0.000, 0.500], [0.000, 0.500, 0.500], [0.500, 0.500, 0.000], [0.000, 0.000, 0.000]]
}

***

{
  "formula": "BaBiF3",
  "functional": "GGA-PBEsol",
  "state": "relaxed",
  "final_energy_ev_per_atom": -4.5547,
  "magnetic_moment_mub_per_fu": 2.0,
  "raw_formation_energy_ev_per_fu": -10.557,
  "vol_a3_per_cell": 125.2,
  "cell": [[5.002, 0.000, 0.000], [0.000, 5.002, 0.000], [0.000, 0.000, 5.002]],
  "species": ["F", "F", "F", "Bi", "Ba"],
  "frac_coords": [[0.000, 0.500, 0.000], [0.000, 0.000, 0.500], [0.500, 0.000, 0.000], [0.500, 0.500, 0.500], [0.000, 0.000, 0.000]]
}

***

{
  "formula": "BaIr2W",
  "functional": "GGA-PBEsol",
  "state": "relaxed",
  "final_energy_ev_per_atom": -8.2974,
  "magnetic_moment_mub_per_fu": 0.0,
  "de_polymorph_ev_per_fu": 1.36,
  "vol_a3_per_cell": 73.7,
  "e_form_mev_per_atom": 603,
  "cell": [[2.920, 0.000, 0.000], [1.460, 2.529, 0.000], [1.460, 0.843, 9.974]],
  "species": ["Ba", "W", "Ir", "Ir"],
  "frac_coords": [[0.000, 0.000, 0.000], [0.500, 0.500, 0.500], [0.236, 0.236, 0.291], [0.764, 0.764, 0.709]]
}

***

{
  "formula": "IrRhW2",
  "functional": "GGA-PBEsol",
  "state": "relaxed",
  "final_energy_ev_per_atom": -11.6400,
  "magnetic_moment_mub_per_fu": 0.0,
  "de_polymorph_ev_per_fu": 0.03,
  "vol_a3_per_cell": 58.3,
  "e_form_mev_per_atom": -246,
  "cell": [[-2.523, -0.617, 0.869], [1.843, -2.179, 3.804], [-0.777, 4.585, 0.997]],
  "species": ["W", "W", "Ir", "Rh"],
  "frac_coords": [[0.000, 0.000, 0.500], [0.000, 0.500, 0.000], [0.500, 0.500, 0.500], [0.500, 0.000, 0.000]]
}

***

{
  "formula": "NiI2NF",
  "functional": "GGA-PBEsol",
  "state": "relaxed",
  "final_energy_ev_per_atom": -2.6233,
  "magnetic_moment_mub_per_fu": 2.9,
  "raw_formation_energy_ev_per_fu": 7.029,
  "vol_a3_per_cell": 104.9,
  "cell": [[-0.908, -2.980, 1.159], [3.258, -2.487, -3.842], [4.312, 0.085, 3.600]],
  "species": ["Ni", "I", "I", "N", "F"],
  "frac_coords": [[0.500, 0.500, 0.500], [0.000, 0.000, 0.500], [0.000, 0.500, 0.000], [0.500, 0.000, 0.000], [0.000, 0.000, 0.000]]
}

***

{
  "formula": "TaTiNbCo2",
  "functional": "GGA-PBEsol",
  "state": "relaxed",
  "final_energy_ev_per_atom": -8.4648,
  "magnetic_moment_mub_per_fu": 0.3,
  "vol_a3_per_cell": 78.7,
  "e_form_mev_per_atom": 969,
  "cell": [[4.129, 0.000, 0.000], [0.000, 4.129, 0.000], [0.000, 0.000, 4.614]],
  "species": ["Co", "Co", "Ta", "Nb", "Ti"],
  "frac_coords": [[0.500, 0.000, 0.000], [0.000, 0.500, 0.000], [0.500, 0.500, 0.500], [0.000, 0.000, 0.500], [0.000, 0.000, 0.000]]
}

***

{
  "formula": "SrTl2Pb",
  "functional": "GGA-PBEsol",
  "state": "relaxed",
  "final_energy_ev_per_atom": -3.0711,
  "magnetic_moment_mub_per_fu": 0.0,
  "vol_a3_per_cell": 117.9,
  "e_form_mev_per_atom": -296,
  "cell": [[-0.010, -2.590, 4.083], [4.379, 1.728, 1.107], [-4.323, 4.288, -0.154]],
  "species": ["Sr", "Pb", "Tl", "Tl"],
  "frac_coords": [[0.250, 0.750, 0.500], [0.000, 0.000, 0.000], [0.750, 0.250, 0.500], [0.500, 0.500, 0.000]]
}

***

{
  "formula": "Ag2RuCl",
  "functional": "GGA-PBEsol",
  "state": "relaxed",
  "final_energy_ev_per_atom": -3.9129,
  "magnetic_moment_mub_per_fu": 1.2,
  "de_polymorph_ev_per_fu": 0.00,
  "raw_formation_energy_ev_per_fu": 3.151,
  "vol_a3_per_cell": 65.8,
  "cell": [[3.750, 0.000, 0.000], [0.000, 3.750, 0.000], [-1.875, -1.875, 4.682]],
  "species": ["Cl", "Ag", "Ag", "Ru"],
  "frac_coords": [[0.500, 0.500, 0.000], [0.250, 0.750, 0.500], [0.750, 0.250, 0.500], [0.000, 0.000, 0.000]]
}

***

{
  "formula": "TaMn2Hg",
  "functional": "GGA-PBEsol",
  "state": "relaxed",
  "final_energy_ev_per_atom": -7.9979,
  "magnetic_moment_mub_per_fu": 3.5,
  "vol_a3_per_cell": 59.8,
  "e_form_mev_per_atom": 162,
  "cell": [[-0.128, -2.408, 2.024], [0.057, -2.027, -2.408], [6.024, -0.117, 0.241]],
  "species": ["Mn", "Mn", "Ta", "Hg"],
  "frac_coords": [[0.000, 0.000, 0.224], [0.000, 0.000, 0.776], [0.500, 0.500, 0.000], [0.500, 0.500, 0.500]]
}

***

{
  "formula": "Ba2InPb",
  "functional": "GGA-PBEsol",
  "state": "relaxed",
  "final_energy_ev_per_atom": -3.0445,
  "magnetic_moment_mub_per_fu": 0.0,
  "de_polymorph_ev_per_fu": 1.18,
  "vol_a3_per_cell": 144.3,
  "e_form_mev_per_atom": -225,
  "cell": [[-4.858, -3.315, 0.286], [-0.740, -3.759, 4.471], [-4.067, 1.087, 4.117]],
  "species": ["Ba", "Ba", "In", "Pb"],
  "frac_coords": [[0.750, 0.750, 0.750], [0.000, 0.000, 0.000], [0.500, 0.500, 0.500], [0.250, 0.250, 0.250]]
}

***

{
  "formula": "LaY",
  "functional": "GGA-PBEsol",
  "state": "relaxed",
  "final_energy_ev_per_atom": -6.0468,
  "magnetic_moment_mub_per_fu": 0.0,
  "de_polymorph_ev_per_fu": 0.07,
  "vol_a3_per_cell": 131.4,
  "e_form_mev_per_atom": 37,
  "cell": [[-2.143, -2.896, 0.674], [0.953, -1.955, -5.372], [4.917, -3.167, 2.025]],
  "species": ["Y", "Y", "La", "La"],
  "frac_coords": [[0.000, 0.750, 0.170], [0.000, 0.250, 0.830], [0.500, 0.250, 0.328], [0.500, 0.750, 0.672]]
}